[1]
Crystalline AcSmIn2Hg2 at its relaxed geometry, computed with PBE.

```
6
Lattice="-0.1045 4.9299 0.7613 -0.3406 -3.1298 3.8707 7.8656 0.0532 0.7352" Properties=species:S:1:pos:R:3 pbc="T T T"
Ac 0.0000 0.0000 0.0000
Sm 3.9328 0.0266 0.3676
In 1.9050 2.2575 1.9930
In 5.5155 -0.4041 3.3743
Hg 5.3206 2.2806 2.3122
Hg 2.0999 -0.4273 3.0550
```

Results
total energy: -17.7 eV per cell
symmetry: P-3m1, No. 164
spin magnetization: 0.0 μB per cell



[2]
Crystalline Tb5Ga2Sb2 at its relaxed geometry, computed with PBE.

```
18
Lattice="-5.3077 1.1228 5.8211 -2.2711 -7.6061 -0.6038 6.4493 1.8012 5.5330" Properties=species:S:1:pos:R:3 pbc="T T T"
Tb 0.0000 0.0000 0.0000
Tb -3.7894 -3.2417 2.6087
Tb -4.5373 -4.6992 5.8062
Tb -0.2476 -2.8367 2.1615
Tb -2.2411 -6.4583 2.8006
Tb -2.5438 -1.0776 5.1671
Tb 3.4078 0.0170 4.9441
Tb -0.8819 -1.8454 8.5888
Tb 1.1116 1.7761 7.9497
Tb 1.4143 -3.6046 5.5832
Ga -5.2932 -5.9707 3.0919
Ga -2.2855 -0.5127 2.1254
Ga -2.0634 -4.6029 0.3345
Ga -5.5154 -1.8804 4.8828
Sb 2.1843 -0.8229 2.1504
Sb -1.6051 -4.0646 4.7590
Sb 1.9938 -4.9820 2.7789
Sb 0.4756 -0.6176 5.9913
```

Results
formation energy (no corrections): -836 meV per atom
symmetry: Cmce, No. 64
spin magnetization: 0.0 μB per cell